This record from Alexandria via LeMat-Bulk describes an optimized crystal structure of CsKZn2Au. The functional is PBE-GGA.

Its density of states at the Fermi level is 2.72 states/eV/f.u. The formation energy is -2 meV per atom. The value obtained for the final energy is -1.56 eV/atom. Its size of the total moment is 0.00 μB/f.u.

It has space group P4/mmm (No. 123), with a = 5.2003 Å, b = 5.2003 Å, c = 6.1912 Å, α = 90.00°, β = 90.00° and γ = 90.00°. The distinct sites, in fractional coordinates, are Cs at (0.0000, 0.0000, 0.0000), K at (0.5000, 0.5000, 0.0000), Zn at (0.0000, 0.5000, 0.5000) and Au at (0.5000, 0.5000, 0.5000).



This record from Alexandria via LeMat-Bulk describes an optimized crystal structure of CsLa3Au. The functional is PBE-GGA.

Its density of states at the Fermi level is 6.78 states/eV/f.u. The formation energy is 1000 meV per atom. The value obtained for the final energy is -2.78 eV/atom. Its size of the total moment is 0.00 μB/f.u.

It has space group Pm-3m (No. 221), with a = 5.8320 Å, b = 5.8320 Å, c = 5.8320 Å, α = 90.00°, β = 90.00° and γ = 90.00°. The distinct sites, in fractional coordinates, are Cs at (0.0000, 0.0000, 0.0000), La at (0.0000, 0.0000, 0.5000) and Au at (0.5000, 0.5000, 0.5000).



This record from Alexandria via LeMat-Bulk describes an optimized crystal structure of CsLaAu3. The functional is PBE-GGA.

Its density of states at the Fermi level is 2.27 states/eV/f.u. The formation energy is -244 meV per atom. The value obtained for the final energy is -3.37 eV/atom. Its size of the total moment is 0.00 μB/f.u.

It has space group Pm-3m (No. 221), with a = 5.8174 Å, b = 5.8174 Å, c = 5.8174 Å, α = 90.00°, β = 90.00° and γ = 90.00°. The distinct sites, in fractional coordinates, are Cs at (0.0000, 0.0000, 0.0000), La at (0.5000, 0.5000, 0.5000) and Au at (0.0000, 0.5000, 0.5000).



This record from Alexandria via LeMat-Bulk describes an optimized crystal structure of CsLa3Au. The functional is PBE-GGA.

Its density of states at the Fermi level is 7.85 states/eV/f.u. The formation energy is 74 meV per atom. The value obtained for the final energy is -3.71 eV/atom. Its size of the total moment is 1.70 μB/f.u.

It has space group Pm-3m (No. 221), with a = 6.0564 Å, b = 6.0564 Å, c = 6.0564 Å, α = 90.00°, β = 90.00° and γ = 90.00°. The distinct sites, in fractional coordinates, are Cs at (0.0000, 0.0000, 0.0000), La at (0.0000, 0.5000, 0.5000) and Au at (0.5000, 0.5000, 0.5000).



This record from Alexandria via LeMat-Bulk describes an optimized crystal structure of CsLaNi2Au. The functional is PBE-GGA.

Its density of states at the Fermi level is 5.87 states/eV/f.u. The formation energy is 876 meV per atom. The value obtained for the final energy is -3.25 eV/atom. Its size of the total moment is 0.13 μB/f.u.

It has space group P4/mmm (No. 123), with a = 4.9667 Å, b = 4.9667 Å, c = 5.6672 Å, α = 90.00°, β = 90.00° and γ = 90.00°. The distinct sites, in fractional coordinates, are Cs at (0.0000, 0.0000, 0.0000), La at (0.5000, 0.5000, 0.0000), Ni at (0.0000, 0.5000, 0.5000) and Au at (0.0000, 0.0000, 0.5000).



This record from Alexandria via LeMat-Bulk describes an optimized crystal structure of CsLa2AuO. The functional is PBE-GGA.

Its density of states at the Fermi level is 6.32 states/eV/f.u. The value obtained for the final energy is -3.28 eV/atom. Its size of the total moment is 0.00 μB/f.u.

It has space group P4/mmm (No. 123), with a = 5.9955 Å, b = 5.9955 Å, c = 4.5139 Å, α = 90.00°, β = 90.00° and γ = 90.00°. The distinct sites, in fractional coordinates, are Cs at (0.0000, 0.0000, 0.0000), La at (0.0000, 0.5000, 0.0000), Au at (0.5000, 0.5000, 0.5000) and O at (0.0000, 0.0000, 0.5000).



This record from Alexandria via LeMat-Bulk describes an optimized crystal structure of CsLa2Au2O6. The functional is PBE-GGA.

Its density of states at the Fermi level is 3.48 states/eV/f.u. The value obtained for the final energy is -5.90 eV/atom. Its size of the total moment is 0.82 μB/f.u.

It has space group P-1 (No. 2), with a = 6.7639 Å, b = 6.9610 Å, c = 7.0506 Å, α = 93.90°, β = 117.56° and γ = 116.52°. The distinct sites, in fractional coordinates, are Cs at (0.0000, 0.0000, 0.0000), La at (0.3714, 0.6858, 0.0431), Au at (0.1094, 0.7574, 0.4718), O at (0.0977, 0.6015, 0.1977), O at (0.2607, 0.3369, 0.7936) and O at (0.4248, 0.8940, 0.7887).



This record from Alexandria via LeMat-Bulk describes an optimized crystal structure of CsLaAuO2. The functional is PBE-GGA.

Its density of states at the Fermi level is 2.15 states/eV/f.u. The value obtained for the final energy is -5.43 eV/atom. Its size of the total moment is 0.00 μB/f.u.

It has space group P2/c (No. 13), with a = 6.9626 Å, b = 5.5325 Å, c = 7.1448 Å, α = 90.00°, β = 94.15° and γ = 90.00°. The distinct sites, in fractional coordinates, are Cs at (0.0000, 0.1910, 0.2500), La at (0.5000, 0.4853, 0.7500), Au at (0.5000, 0.0000, 0.0000) and O at (0.3077, 0.3679, 0.9920).